No. 1
The following is a DFT calculation (PBE) of crystalline PmPr4Ho6 at its relaxed geometry.

Unit cell a=7.7908 b=7.7908 c=13.0560 alpha=90.00 beta=90.00 gamma=90.00
Last column: nearest neighbours and their distance in Å.
Space group I-42m (No. 121)
Symmetry-distinct sites (fractional):
Pm 0.0000 0.0000 0.0000 (multiplicity 2)  8 Ho 3.64-3.90, 4 Pr 3.71
Pr 0.1756 0.1756 0.4239 (multiplicity 8)  3 Ho 3.04-3.24, 2 Pr 3.38
Ho 0.0000 0.5000 0.0000 (multiplicity 4)  4 Pr 3.04
Ho 0.2486 0.2486 0.1837 (multiplicity 8)  2 Pr 3.24-3.49

## Properties
VASP energy ... -46.35 eV/f.u.
Density of states at the Fermi level ... 1.407 states/eV/atom
Energy above the lowest structure with this stoichiometry ... 152 meV per atom
Crystal system ... tetragonal
ΔH_f (0 K) ... 453.0 meV per atom



No. 2
The following is a DFT calculation (PBE) of crystalline Pm4Pr5Ho2 at its relaxed geometry.

Unit cell a=18.0122 b=3.5948 c=11.8309 alpha=90.00 beta=93.94 gamma=90.00
Last column: nearest neighbours and their distance in Å.
Space group C2/m (No. 12)
Symmetry-distinct sites (fractional):
Pm 0.0380 0.0000 0.2628 (multiplicity 4)  5 Pr 3.35-3.62, 4 Pm 3.59-3.72
Pm 0.1412 0.5000 0.7962 (multiplicity 4)  6 Pr 3.50-3.77, 4 Pm 3.59-3.72, 2 Ho 3.72
Pr 0.0000 0.5000 0.0000 (multiplicity 2)  6 Pr 3.59-3.73, 6 Pm 3.62
Pr 0.0968 0.0000 0.5378 (multiplicity 4)  4 Pm 3.35-3.59, 3 Ho 3.51-3.61, 3 Pr 3.54-3.59
Pr 0.1781 0.0000 0.0744 (multiplicity 4)  4 Pm 3.48-3.77, 6 Pr 3.59-3.73, 2 Ho 3.83
Ho 0.2161 0.5000 0.3581 (multiplicity 4)  5 Pr 3.51-3.83, 2 Ho 3.59, 4 Pm 3.72-3.78

## Properties
VASP energy ... -51.23 eV/f.u.
Density of states at the Fermi level ... 1.482 states/eV/atom
Energy above the lowest structure with this stoichiometry ... 0 meV per atom
Crystal system ... monoclinic
ΔH_f (0 K) ... 75.3 meV per atom



No. 3
The following is a DFT calculation (PBE) of crystalline Pm3PrHo6 at its relaxed geometry.

Unit cell a=11.0896 b=19.0046 c=6.2684 alpha=90.00 beta=90.00 gamma=90.00
Last column: nearest neighbours and their distance in Å.
Space group Cmc2_1 (No. 36)
Symmetry-distinct sites (fractional):
Pm 0.0000 0.1094 0.0000 (multiplicity 4)  5 Ho 3.40-3.66, 1 Pr 3.61, 2 Pm 3.67
Pm 0.1747 0.3893 0.3941 (multiplicity 8)  1 Pr 3.30, 6 Ho 3.30-3.58, 1 Pm 3.67
Pr 0.0000 0.2979 0.0707 (multiplicity 4)  7 Ho 3.28-3.51, 3 Pm 3.30-3.61
Ho 0.0000 0.2203 0.5735 (multiplicity 4)  4 Ho 3.23-3.41, 1 Pm 3.40, 2 Pr 3.45-3.48
Ho 0.0000 0.4568 0.8292 (multiplicity 4)  1 Pr 3.38, 4 Pm 3.53-3.58, 2 Ho 3.54
Ho 0.1652 0.0471 0.4684 (multiplicity 8)  4 Ho 3.40-3.67, 4 Pm 3.43-3.66
Ho 0.2468 0.2108 0.3019 (multiplicity 8)  5 Ho 3.23-3.47, 2 Pr 3.28-3.51, 2 Pm 3.30-3.53

## Properties
VASP energy ... -45.00 eV/f.u.
Density of states at the Fermi level ... 1.480 states/eV/atom
Energy above the lowest structure with this stoichiometry ... 0 meV per atom
Crystal system ... orthorhombic
ΔH_f (0 K) ... 149.3 meV per atom



No. 4
The following is a DFT calculation (PBE) of crystalline Pm3Pr3Ho8 at its relaxed geometry.

Unit cell a=5.6986 b=10.7829 c=15.2592 alpha=90.00 beta=90.00 gamma=90.00
Last column: nearest neighbours and their distance in Å.
Space group Immm (No. 71)
Symmetry-distinct sites (fractional):
Pm 0.0000 0.0000 0.0000 (multiplicity 2)  2 Pm 3.25
Pm 0.0000 0.3014 0.0000 (multiplicity 4)  1 Pm 3.25, 4 Pr 3.56-3.57, 4 Ho 3.59
Pr 0.0000 0.0000 0.5000 (multiplicity 2)  4 Pm 3.56, 4 Ho 3.99
Pr 0.0000 0.5000 0.1873 (multiplicity 4)  2 Pm 3.57, 8 Ho 3.63-3.68
Ho 0.0000 0.1619 0.2195 (multiplicity 8)  6 Ho 3.33-3.55, 3 Pr 3.63-3.68, 1 Pm 3.67
Ho 0.0000 0.3401 0.3978 (multiplicity 8)  5 Ho 3.12-3.45

## Properties
VASP energy ... -63.72 eV/f.u.
Density of states at the Fermi level ... 1.536 states/eV/atom
Crystal system ... orthorhombic
ΔH_f (0 K) ... 106.6 meV per atom



No. 5
The following is a DFT calculation (PBE) of crystalline Pm4Pr2Ho3 at its relaxed geometry.

Unit cell a=19.9517 b=3.5643 c=8.7402 alpha=90.00 beta=99.13 gamma=90.00
Last column: nearest neighbours and their distance in Å.
Space group C2/m (No. 12)
Symmetry-distinct sites (fractional):
Pm 0.0484 0.0000 0.1851 (multiplicity 4)  4 Pm 3.49-3.56, 6 Ho 3.52-3.67, 1 Pr 3.61
Pm 0.2201 0.0000 0.1483 (multiplicity 4)  5 Pm 3.49-3.56, 3 Ho 3.49-3.58, 3 Pr 3.69-3.78
Pr 0.1666 0.0000 0.5438 (multiplicity 4)  4 Pr 3.56-3.95, 4 Pm 3.61-3.78, 4 Ho 3.67-3.74
Ho 0.0000 0.5000 0.5000 (multiplicity 2)  4 Ho 3.51-3.56, 4 Pm 3.54, 4 Pr 3.74
Ho 0.1056 0.5000 0.8617 (multiplicity 4)  7 Pm 3.49-3.67, 3 Ho 3.51-3.56, 2 Pr 3.67

## Properties
VASP energy ... -41.60 eV/f.u.
Density of states at the Fermi level ... 1.577 states/eV/atom
Energy above the lowest structure with this stoichiometry ... 24 meV per atom
Crystal system ... monoclinic
ΔH_f (0 K) ... 77.1 meV per atom



No. 6
The following is a DFT calculation (PBE) of crystalline PmPr5Ho4 at its relaxed geometry.

Unit cell a=18.8239 b=3.6412 c=10.2674 alpha=90.00 beta=106.37 gamma=90.00
Last column: nearest neighbours and their distance in Å.
Space group C2/m (No. 12)
Symmetry-distinct sites (fractional):
Pm 0.0000 0.0000 0.0000 (multiplicity 2)  6 Ho 3.60-3.61, 4 Pr 3.61, 2 Pm 3.64
Pr 0.0000 0.0000 0.5000 (multiplicity 2)  8 Pr 3.62-3.65, 4 Ho 3.68
Pr 0.1007 0.5000 0.8048 (multiplicity 4)  4 Ho 3.58-3.65, 2 Pm 3.61, 6 Pr 3.64-3.67
Pr 0.2004 0.0000 0.6005 (multiplicity 4)  5 Ho 3.58-3.64, 7 Pr 3.62-3.67
Ho 0.1012 0.5000 0.2965 (multiplicity 4)  6 Pr 3.58-3.68, 2 Pm 3.60, 4 Ho 3.60-3.64
Ho 0.1997 0.0000 0.0999 (multiplicity 4)  5 Pr 3.58-3.61, 6 Ho 3.60-3.65, 1 Pm 3.61

## Properties
VASP energy ... -46.80 eV/f.u.
Density of states at the Fermi level ... 1.270 states/eV/atom
Energy above the lowest structure with this stoichiometry ... 0 meV per atom
Crystal system ... monoclinic
ΔH_f (0 K) ... 16.1 meV per atom



No. 7
The following is a DFT calculation (PBE) of crystalline PmPr7Ho3 at its relaxed geometry.

Unit cell a=12.8740 b=11.5325 c=5.9771 alpha=90.00 beta=117.64 gamma=90.00
Last column: nearest neighbours and their distance in Å.
Space group C2/m (No. 12)
Symmetry-distinct sites (fractional):
Pm 0.0000 0.0000 0.0000 (multiplicity 2)  4 Pr 2.99-3.33
Pr 0.0000 0.0000 0.5000 (multiplicity 2)  2 Pm 2.99
Pr 0.1945 0.2917 0.1943 (multiplicity 8)  2 Ho 3.27-3.63, 3 Pr 3.38-3.54
Pr 0.2083 0.5000 0.7074 (multiplicity 4)  1 Pm 3.33, 2 Ho 3.34, 2 Pr 3.54
Ho 0.0000 0.2969 0.5000 (multiplicity 4)  9 Pr 3.34-3.72
Ho 0.0000 0.5000 0.0000 (multiplicity 2)  4 Pr 3.27

## Properties
VASP energy ... -49.59 eV/f.u.
Density of states at the Fermi level ... 1.380 states/eV/atom
Energy above the lowest structure with this stoichiometry ... 0 meV per atom
Crystal system ... monoclinic
ΔH_f (0 K) ... 213.3 meV per atom



No. 8
The following is a DFT calculation (PBE) of crystalline Pm12Pr7Ho at its relaxed geometry.

Unit cell a=12.3315 b=12.3315 c=16.2006 alpha=90.00 beta=90.00 gamma=120.00
Last column: nearest neighbours and their distance in Å.
Space group R-3 (No. 148, hexagonal axes)
Symmetry-distinct sites (fractional):
Pm 0.0256 0.4485 0.2220 (multiplicity 18)  3 Pm 3.29-3.47, 1 Ho 3.50, 2 Pr 3.61-3.67
Pm 0.0541 0.5878 0.5817 (multiplicity 18)  4 Pm 3.25-3.47, 2 Pr 3.37-3.62
Pr 0.0000 0.0000 0.0000 (multiplicity 3)  6 Pm 3.37
Pr 0.0569 0.1873 0.2919 (multiplicity 18)  3 Pr 3.52-3.55, 7 Pm 3.61-3.87
Ho 0.0000 0.0000 0.5000 (multiplicity 3)  6 Pm 3.50

## Properties
VASP energy ... -90.72 eV/f.u.
Density of states at the Fermi level ... 1.994 states/eV/atom
Energy above the lowest structure with this stoichiometry ... 0 meV per atom
Crystal system ... trigonal
ΔH_f (0 K) ... 216.0 meV per atom



No. 9
The following is a DFT calculation (PBE) of crystalline Pm6Pr3Ho2 at its relaxed geometry.

Unit cell a=5.5379 b=5.5379 c=83.5996 alpha=90.00 beta=90.00 gamma=120.00
Last column: nearest neighbours and their distance in Å.
Space group R-3m (No. 166, hexagonal axes)
Symmetry-distinct sites (fractional):
Pm 0.0000 0.0000 0.0639 (multiplicity 6)  1 Ho 3.52, 3 Pr 3.64, 3 Pm 3.65
Pm 0.0000 0.0000 0.3332 (multiplicity 6)  3 Pm 3.20
Pm 0.0000 0.0000 0.3760 (multiplicity 6)  3 Pr 3.20
Pr 0.0000 0.0000 0.2902 (multiplicity 6)  3 Pm 3.20
Pr 0.0000 0.0000 0.5000 (multiplicity 3)  6 Pr 5.54
Ho 0.0000 0.0000 0.0218 (multiplicity 6)  10 Pm 3.52-3.69, 1 Ho 3.65, 3 Pr 3.66

## Properties
VASP energy ... -44.78 eV/f.u.
Density of states at the Fermi level ... 2.015 states/eV/atom
Energy above the lowest structure with this stoichiometry ... 389 meV per atom
Crystal system ... trigonal
ΔH_f (0 K) ... 656.2 meV per atom



No. 10
The following is a DFT calculation (PBE) of crystalline PmPr3Ho4 at its relaxed geometry.

Unit cell a=10.2347 b=7.2173 c=7.2147 alpha=90.00 beta=90.00 gamma=90.00
Last column: nearest neighbours and their distance in Å.
Space group Pmna (No. 53)
Symmetry-distinct sites (fractional):
Pm 0.0000 0.0000 0.0000 (multiplicity 2)  8 Ho 3.61, 4 Pr 3.61
Pr 0.0000 0.5000 0.5000 (multiplicity 2)  8 Ho 3.61, 4 Pr 3.62
Pr 0.2500 0.2489 0.2500 (multiplicity 4)  8 Ho 3.60-3.62, 2 Pm 3.61, 2 Pr 3.62
Ho 0.0000 0.0000 0.5000 (multiplicity 2)  2 Pm 3.61, 6 Pr 3.61, 4 Ho 3.61
Ho 0.0000 0.5000 0.0000 (multiplicity 2)  6 Pr 3.61-3.62, 2 Pm 3.61, 4 Ho 3.61
Ho 0.2500 0.2497 0.7500 (multiplicity 4)  6 Pr 3.60-3.62, 4 Ho 3.61, 2 Pm 3.61

## Properties
VASP energy ... -37.23 eV/f.u.
Density of states at the Fermi level ... 1.526 states/eV/atom
Energy above the lowest structure with this stoichiometry ... 0 meV per atom
Crystal system ... orthorhombic
ΔH_f (0 K) ... 21.5 meV per atom